Record 1
First-principles (PBE-GGA) data for a relaxed structure of Hf2Al3Zn2, as listed in the Alexandria database.

Structure (POSCAR):
```
Hf2Al3Zn2
1.0
2.069 -9.266 0.000
2.069 9.266 0.000
0.000 0.000 3.211
Hf Al Zn
2 3 2
Direct
0.155 0.845 0.000 Hf
0.845 0.155 0.000 Hf
0.000 0.000 0.000 Al
0.426 0.574 0.500 Al
0.574 0.426 0.500 Al
0.287 0.713 0.500 Zn
0.713 0.287 0.500 Zn
```

Values from the calculation:
energy above the lowest structure with this stoichiometry: 0 meV/atom
space group: Cmmm
final energy: -35.207 eV per formula unit
DFT formation energy: -147 kJ/mol of formula units
size of the total moment: 0.0000 μB per atom


Record 2
First-principles (PBE-GGA) data for a relaxed structure of Hg2PbBr, as listed in the Alexandria database.

Structure (POSCAR):
```
Hg2PbBr
1.0
3.671 0.000 0.000
0.000 5.597 0.000
-1.624 0.000 5.890
Hg Pb Br
2 1 1
Direct
0.105 0.000 0.257 Hg
0.895 0.000 0.743 Hg
0.500 0.500 0.500 Pb
0.500 0.500 0.000 Br
```

Values from the calculation:
energy above the lowest structure with this stoichiometry: 38 meV/atom
formation energy (no corrections): -16.67 kJ/mol of atoms
space group: P2/m
final energy: -6.676 eV per formula unit
size of the total moment: 0.0000 μB per atom